No. 1
{
  "formula": "Ta3HPt",
  "functional": "PBEsol",
  "state": "relaxed",
  "lattice_angstrom": [[4.105, 0.000, 0.000], [0.000, 4.105, 0.000], [0.000, 0.000, 4.105]],
  "species": ["Ta", "H", "Ta", "Pt", "Ta"],
  "fractional_positions": [[0.000, 0.000, 0.500], [0.000, 0.000, 0.000], [0.000, 0.500, 0.000], [0.500, 0.500, 0.500], [0.500, 0.000, 0.000]],
  "final_energy_ev_per_fu": -49.3,
  "mass_density_g_cm3": 17.7
}



No. 2
{
  "formula": "CoTeN2F",
  "functional": "PBEsol",
  "state": "relaxed",
  "lattice_angstrom": [[3.707, 0.000, 0.000], [0.000, 3.810, 0.000], [0.000, 0.000, 3.810]],
  "species": ["Co", "N", "Te", "N", "F"],
  "fractional_positions": [[0.000, 0.000, 0.000], [0.000, 0.000, 0.500], [0.500, 0.500, 0.500], [0.000, 0.500, 0.000], [0.500, 0.000, 0.000]],
  "final_energy_ev_per_fu": -28.3,
  "mass_density_g_cm3": 7.2,
  "raw_formation_energy_ev_per_atom": 0.39
}



No. 3
{
  "formula": "CeAgSn",
  "functional": "PBEsol",
  "state": "relaxed",
  "lattice_angstrom": [[4.767, 0.000, 0.000], [-2.383, 4.128, 0.000], [0.000, 0.000, 7.278]],
  "species": ["Sn", "Ag", "Sn", "Ag", "Ce", "Ce"],
  "fractional_positions": [[0.333, 0.667, 0.044], [0.333, 0.667, 0.469], [0.667, 0.333, 0.544], [0.667, 0.333, 0.969], [0.000, 0.000, 0.270], [0.000, 0.000, 0.770]],
  "final_energy_ev_per_fu": -15.6,
  "formation_energy_mev_per_atom": -469,
  "mass_density_g_cm3": 8.5
}



No. 4
{
  "formula": "HoTmCd2",
  "functional": "PBEsol",
  "state": "relaxed",
  "lattice_angstrom": [[5.154, 0.000, 0.000], [2.577, 4.463, 0.000], [2.577, 1.488, 4.208]],
  "species": ["Tm", "Cd", "Ho", "Cd"],
  "fractional_positions": [[0.000, 0.000, 0.000], [0.250, 0.250, 0.250], [0.500, 0.500, 0.500], [0.750, 0.750, 0.750]],
  "final_energy_ev_per_fu": -13.6,
  "formation_energy_mev_per_atom": -342,
  "mass_density_g_cm3": 9.6
}



No. 5
{
  "formula": "ScTcAg2",
  "functional": "PBEsol",
  "state": "relaxed",
  "lattice_angstrom": [[-2.193, 1.512, -1.068], [-1.914, -1.269, -1.721], [-6.568, -2.190, 6.526]],
  "species": ["Ag", "Ag", "Tc", "Sc"],
  "fractional_positions": [[0.749, 0.749, 0.753], [0.999, 0.999, 0.004], [0.249, 0.249, 0.252], [0.503, 0.503, 0.490]],
  "final_energy_ev_per_fu": -23.5,
  "formation_energy_mev_per_atom": 239,
  "de_polymorph_mev_per_atom": 0.0,
  "mass_density_g_cm3": 8.9
}



No. 6
{
  "formula": "K2CdIn",
  "functional": "PBEsol",
  "state": "relaxed",
  "lattice_angstrom": [[-3.045, 3.414, -1.842], [-3.043, -3.625, -1.688], [-1.683, -1.587, 6.443]],
  "species": ["Cd", "K", "K", "In"],
  "fractional_positions": [[0.801, 0.000, 0.602], [0.098, 0.000, 0.195], [0.407, 0.500, 0.814], [0.701, 0.500, 0.402]],
  "final_energy_ev_per_fu": -6.5,
  "formation_energy_mev_per_atom": -7,
  "mass_density_g_cm3": 3.2
}



No. 7
{
  "formula": "CdH3Pd",
  "functional": "PBEsol",
  "state": "relaxed",
  "lattice_angstrom": [[-1.142, -3.011, 1.618], [3.382, -1.245, 0.072], [0.499, 1.541, 3.220]],
  "species": ["Cd", "Pd", "H", "H", "H"],
  "fractional_positions": [[0.500, 0.500, 0.500], [0.000, 0.000, 0.000], [0.000, 0.000, 0.500], [0.000, 0.500, 0.000], [0.500, 0.000, 0.000]],
  "final_energy_ev_per_fu": -16.3,
  "mass_density_g_cm3": 7.9
}



No. 8
{
  "formula": "ScSi2Au",
  "functional": "PBEsol",
  "state": "relaxed",
  "lattice_angstrom": [[3.787, 0.000, 0.000], [1.893, 3.279, 0.000], [1.893, 1.093, 5.936]],
  "species": ["Si", "Si", "Au", "Sc"],
  "fractional_positions": [[0.738, 0.738, 0.787], [0.016, 0.016, 0.953], [0.492, 0.492, 0.523], [0.254, 0.254, 0.237]],
  "final_energy_ev_per_fu": -22.9,
  "mass_density_g_cm3": 6.7,
  "raw_formation_energy_ev_per_atom": -0.22
}



No. 9
{
  "formula": "Al2CuSi",
  "functional": "PBEsol",
  "state": "relaxed",
  "lattice_angstrom": [[-0.076, 1.364, 2.350], [-4.161, 1.777, -1.166], [-0.971, -4.598, 1.065]],
  "species": ["Al", "Si", "Cu", "Al"],
  "fractional_positions": [[0.765, 0.289, 0.530], [0.230, 0.768, 0.461], [0.513, 0.470, 0.027], [0.991, 0.973, 0.983]],
  "final_energy_ev_per_fu": -18.2,
  "mass_density_g_cm3": 4.3,
  "raw_formation_energy_ev_per_atom": 0.02
}



No. 10
{
  "formula": "NiMoPt2",
  "functional": "PBEsol",
  "state": "relaxed",
  "lattice_angstrom": [[2.704, 0.000, 0.000], [0.000, 2.704, 0.000], [0.000, 0.000, 7.554]],
  "species": ["Mo", "Pt", "Ni", "Pt"],
  "fractional_positions": [[0.500, 0.500, 0.000], [0.000, 0.000, 0.259], [0.500, 0.500, 0.500], [0.000, 0.000, 0.741]],
  "final_energy_ev_per_fu": -32.9,
  "formation_energy_mev_per_atom": -251,
  "de_polymorph_mev_per_atom": 30.3,
  "mass_density_g_cm3": 16.4
}



No. 11
{
  "formula": "SrTl2In",
  "functional": "PBEsol",
  "state": "relaxed",
  "lattice_angstrom": [[-2.744, 0.049, 2.398], [1.349, -4.747, 1.640], [4.360, 2.513, 3.688]],
  "species": ["Tl", "In", "Tl", "Sr"],
  "fractional_positions": [[0.320, 0.000, 0.233], [0.500, 0.500, 0.000], [0.680, 0.000, 0.767], [0.000, 0.500, 0.500]],
  "final_energy_ev_per_fu": -11.0,
  "formation_energy_mev_per_atom": -238,
  "mass_density_g_cm3": 8.7
}



No. 12
{
  "formula": "Sr2Pt",
  "functional": "PBEsol",
  "state": "relaxed",
  "lattice_angstrom": [[4.609, 0.000, 0.000], [0.000, 8.173, 0.000], [0.000, -4.086, 7.078]],
  "species": ["Sr", "Sr", "Pt", "Pt", "Sr", "Sr", "Sr", "Pt", "Sr"],
  "fractional_positions": [[0.000, 0.258, 0.000], [0.000, 0.000, 0.258], [0.000, 0.667, 0.333], [0.000, 0.333, 0.667], [0.500, 0.589, 0.000], [0.500, 0.411, 0.411], [0.500, 0.000, 0.589], [0.500, 0.000, 0.000], [0.000, 0.742, 0.742]],
  "final_energy_ev_per_fu": -12.4,
  "formation_energy_mev_per_atom": -579,
  "mass_density_g_cm3": 6.9
}